# Er2LuAl3CuSn2, optimized geometry, DFT PBE-GGA
# Raw total energy in eV/atom: -4.587
data_Er2LuAl3CuSn2
_cell_length_a 4.231
_cell_length_b 12.515
_cell_length_c 7.258
_cell_angle_alpha 90.00
_cell_angle_beta 90.00
_cell_angle_gamma 90.00
_symmetry_space_group_name_H-M 'A m m 2'
_symmetry_Int_Tables_number 38
_symmetry_space_group_name_Hall 'A 2 -2'
loop_
_atom_site_label
_atom_site_fract_x
_atom_site_fract_y
_atom_site_fract_z
Er1 0.000 0.193 0.000
Lu1 0.000 0.000 0.579
Al1 0.500 0.000 0.972
Al2 0.500 0.112 0.306
Cu1 0.000 0.000 0.198
Sn1 0.500 0.165 0.693

---

# PuF, optimized geometry, DFT PBE-GGA
# Energy relative to the lowest polymorph listed for this composition in eV/atom: 0.215
data_PuF
_cell_length_a 3.0128
_cell_length_b 3.0128
_cell_length_c 4.0893
_cell_angle_alpha 90.00
_cell_angle_beta 90.00
_cell_angle_gamma 120.00
_symmetry_space_group_name_H-M 'P -6 m 2'
_symmetry_Int_Tables_number 187
_symmetry_space_group_name_Hall 'P -6 2'
loop_
_atom_site_label
_atom_site_fract_x
_atom_site_fract_y
_atom_site_fract_z
Pu1 0.0000 0.0000 0.0000
F1 0.3333 0.6667 0.5000

---

# PuCuHg, optimized geometry, DFT PBE-GGA
# Formation enthalpy at 0 K in meV/atom: 61
data_PuCuHg
_cell_length_a 6.606
_cell_length_b 6.606
_cell_length_c 6.606
_cell_angle_alpha 90.00
_cell_angle_beta 90.00
_cell_angle_gamma 90.00
_symmetry_space_group_name_H-M 'F -4 3 m'
_symmetry_Int_Tables_number 216
_symmetry_space_group_name_Hall 'F -4 2 3'
loop_
_atom_site_label
_atom_site_fract_x
_atom_site_fract_y
_atom_site_fract_z
Pu1 0.000 0.000 0.000
Cu1 0.250 0.250 0.750
Hg1 0.000 0.000 0.500

---

# HoPaNO, optimized geometry, DFT PBE-GGA
# Energy relative to the lowest polymorph listed for this composition in eV/atom: 0.052
data_HoPaNO
_cell_length_a 4.057
_cell_length_b 6.970
_cell_length_c 5.013
_cell_angle_alpha 90.00
_cell_angle_beta 90.00
_cell_angle_gamma 90.00
_symmetry_space_group_name_H-M 'P m c 21'
_symmetry_Int_Tables_number 26
_symmetry_space_group_name_Hall 'P 2c -2'
loop_
_atom_site_label
_atom_site_fract_x
_atom_site_fract_y
_atom_site_fract_z
Ho1 0.000 0.176 0.000
Pa1 0.500 0.340 0.497
N1 0.500 0.324 0.992
O1 0.000 0.148 0.511

---

# PuBAu, optimized geometry, DFT PBE-GGA
# Energy relative to the lowest polymorph listed for this composition in eV/atom: 0.716
data_PuBAu
_cell_length_a 6.306
_cell_length_b 6.306
_cell_length_c 6.306
_cell_angle_alpha 90.00
_cell_angle_beta 90.00
_cell_angle_gamma 90.00
_symmetry_space_group_name_H-M 'F -4 3 m'
_symmetry_Int_Tables_number 216
_symmetry_space_group_name_Hall 'F -4 2 3'
loop_
_atom_site_label
_atom_site_fract_x
_atom_site_fract_y
_atom_site_fract_z
Pu1 0.000 0.000 0.000
B1 0.250 0.250 0.250
Au1 0.250 0.250 0.750

---

# Sm2CuSe3, optimized geometry, DFT PBE-GGA
# Energy relative to the lowest polymorph listed for this composition in eV/atom: 0.000
data_Sm2CuSe3
_cell_length_a 10.748
_cell_length_b 3.960
_cell_length_c 13.353
_cell_angle_alpha 90.00
_cell_angle_beta 90.00
_cell_angle_gamma 90.00
_symmetry_space_group_name_H-M 'P n m a'
_symmetry_Int_Tables_number 62
_symmetry_space_group_name_Hall '-P 2ac 2n'
loop_
_atom_site_label
_atom_site_fract_x
_atom_site_fract_y
_atom_site_fract_z
Sm1 0.019 0.250 0.242
Sm2 0.216 0.750 0.511
Cu1 0.232 0.250 0.725
Se1 0.049 0.250 0.607
Se2 0.106 0.750 0.096
Se3 0.235 0.750 0.841

---

# TbNbPt, optimized geometry, DFT PBE-GGA
# Formation enthalpy at 0 K in meV/atom: -178
# Energy relative to the lowest polymorph listed for this composition in eV/atom: 0.000
data_TbNbPt
_cell_length_a 6.559
_cell_length_b 6.559
_cell_length_c 6.559
_cell_angle_alpha 90.00
_cell_angle_beta 90.00
_cell_angle_gamma 90.00
_symmetry_space_group_name_H-M 'F -4 3 m'
_symmetry_Int_Tables_number 216
_symmetry_space_group_name_Hall 'F -4 2 3'
loop_
_atom_site_label
_atom_site_fract_x
_atom_site_fract_y
_atom_site_fract_z
Tb1 0.000 0.000 0.000
Nb1 0.000 0.000 0.500
Pt1 0.250 0.250 0.750

---

# TbDyCu2Sn2, optimized geometry, DFT PBE-GGA
# Raw total energy in eV/atom: -4.719
data_TbDyCu2Sn2
_cell_length_a 4.5425
_cell_length_b 4.5425
_cell_length_c 7.2523
_cell_angle_alpha 90.00
_cell_angle_beta 90.00
_cell_angle_gamma 120.00
_symmetry_space_group_name_H-M 'P 3 m 1'
_symmetry_Int_Tables_number 156
_symmetry_space_group_name_Hall 'P 3 -2"'
loop_
_atom_site_label
_atom_site_fract_x
_atom_site_fract_y
_atom_site_fract_z
Tb1 0.0000 0.0000 0.0000
Dy1 0.0000 0.0000 0.4999
Cu1 0.3333 0.6667 0.8146
Cu2 0.6667 0.3333 0.3170
Sn1 0.3333 0.6667 0.2306
Sn2 0.6667 0.3333 0.7290

---

# ScAl6Cu6, optimized geometry, DFT PBE-GGA
# Raw total energy in eV/atom: -4.270
data_ScAl6Cu6
_cell_length_a 5.016
_cell_length_b 8.483
_cell_length_c 8.612
_cell_angle_alpha 90.00
_cell_angle_beta 90.00
_cell_angle_gamma 90.00
_symmetry_space_group_name_H-M 'I m m m'
_symmetry_Int_Tables_number 71
_symmetry_space_group_name_Hall '-I 2 2'
loop_
_atom_site_label
_atom_site_fract_x
_atom_site_fract_y
_atom_site_fract_z
Sc1 0.000 0.000 0.000
Al1 0.000 0.000 0.346
Al2 0.000 0.343 0.000
Al3 0.000 0.500 0.307
Cu1 0.000 0.271 0.500
Cu2 0.250 0.250 0.250

---

# NbAlTe, optimized geometry, DFT PBE-GGA
# Energy relative to the lowest polymorph listed for this composition in eV/atom: 0.000
data_NbAlTe
_cell_length_a 6.553
_cell_length_b 6.553
_cell_length_c 6.553
_cell_angle_alpha 90.00
_cell_angle_beta 90.00
_cell_angle_gamma 90.00
_symmetry_space_group_name_H-M 'F -4 3 m'
_symmetry_Int_Tables_number 216
_symmetry_space_group_name_Hall 'F -4 2 3'
loop_
_atom_site_label
_atom_site_fract_x
_atom_site_fract_y
_atom_site_fract_z
Nb1 0.000 0.000 0.000
Al1 0.250 0.250 0.750
Te1 0.250 0.250 0.250

---

# HoGeH2O4, optimized geometry, DFT PBE-GGA
# Energy relative to the lowest polymorph listed for this composition in eV/atom: 0.009
data_HoGeH2O4
_cell_length_a 5.001
_cell_length_b 6.162
_cell_length_c 12.003
_cell_angle_alpha 90.00
_cell_angle_beta 103.15
_cell_angle_gamma 90.00
_symmetry_space_group_name_H-M 'P 1 21/c 1'
_symmetry_Int_Tables_number 14
_symmetry_space_group_name_Hall '-P 2ybc'
loop_
_atom_site_label
_atom_site_fract_x
_atom_site_fract_y
_atom_site_fract_z
Ho1 0.051 0.221 0.339
Ge1 0.285 0.208 0.102
H1 0.348 0.745 0.509
H2 0.476 0.027 0.743
O1 0.046 0.750 0.489
O2 0.222 0.501 0.718
O3 0.266 0.053 0.714
O4 0.440 0.245 0.967

---

# LiCoBAu, optimized geometry, DFT PBE-GGA
# Energy relative to the lowest polymorph listed for this composition in eV/atom: 0.240
data_LiCoBAu
_cell_length_a 5.698
_cell_length_b 5.698
_cell_length_c 5.698
_cell_angle_alpha 90.00
_cell_angle_beta 90.00
_cell_angle_gamma 90.00
_symmetry_space_group_name_H-M 'F -4 3 m'
_symmetry_Int_Tables_number 216
_symmetry_space_group_name_Hall 'F -4 2 3'
loop_
_atom_site_label
_atom_site_fract_x
_atom_site_fract_y
_atom_site_fract_z
Li1 0.000 0.000 0.000
Co1 0.000 0.000 0.500
B1 0.250 0.250 0.250
Au1 0.250 0.250 0.750

---

In g/cm3, the density values for the records above are, in order, 7.70; 13.59; 11.71; 9.98; 11.96; 7.03; 10.52; 8.79; 5.33; 5.84; 5.60; 9.82.